[1]
# NaBiIr2W (PBE, relaxed)
# DFT formation energy: 1062 meV per atom
# Crystal system: tetragonal
data_NaBiIr2W
_cell_length_a 4.8632
_cell_length_b 4.8632
_cell_length_c 5.3284
_cell_angle_alpha 90.00
_cell_angle_beta 90.00
_cell_angle_gamma 90.00
_space_group_name_H-M_alt 'P 4/m m m'
_space_group_IT_number 123
_space_group_name_Hall '-P 4 2'
loop_
_atom_site_label
_atom_site_type_symbol
_atom_site_fract_x
_atom_site_fract_y
_atom_site_fract_z
_atom_site_occupancy
Na1 Na 0.0000 0.0000 0.0000 1
Bi1 Bi 0.5000 0.5000 0.0000 1
Ir1 Ir 0.0000 0.5000 0.5000 1
W1 W 0.5000 0.5000 0.5000 1

[2]
# V2Co4Ru (PBE, relaxed)
# DFT formation energy: 1186 meV per atom
# Crystal system: tetragonal
# Excess energy over the best structure of this formula in the dataset: 7.507 eV/f.u.
data_V2Co4Ru
_cell_length_a 4.3499
_cell_length_b 4.3499
_cell_length_c 11.6591
_cell_angle_alpha 90.00
_cell_angle_beta 90.00
_cell_angle_gamma 90.00
_space_group_name_H-M_alt 'I 4/m m m'
_space_group_IT_number 139
_space_group_name_Hall '-I 4 2'
loop_
_atom_site_label
_atom_site_type_symbol
_atom_site_fract_x
_atom_site_fract_y
_atom_site_fract_z
_atom_site_occupancy
V1 V 0.0000 0.0000 0.1112 1
Co1 Co 0.0000 0.0000 0.2872 1
Co2 Co 0.0000 0.5000 0.0000 1
Ru1 Ru 0.0000 0.0000 0.5000 1

[3]
# TaVH4 (PBE, relaxed)
# Crystal system: tetragonal
# Excess energy over the best structure of this formula in the dataset: 0.000 eV/f.u.
data_TaVH4
_cell_length_a 3.0727
_cell_length_b 3.0727
_cell_length_c 4.4309
_cell_angle_alpha 90.00
_cell_angle_beta 90.00
_cell_angle_gamma 90.00
_space_group_name_H-M_alt 'P 4/m m m'
_space_group_IT_number 123
_space_group_name_Hall '-P 4 2'
loop_
_atom_site_label
_atom_site_type_symbol
_atom_site_fract_x
_atom_site_fract_y
_atom_site_fract_z
_atom_site_occupancy
Ta1 Ta 0.0000 0.0000 0.0000 1
V1 V 0.5000 0.5000 0.5000 1
H1 H 0.0000 0.5000 0.2702 1

[4]
# BaAuN2O (PBE, relaxed)
# Crystal system: tetragonal
# Raw formation energy: 43.9 kJ/mol of atoms
data_BaAuN2O
_cell_length_a 4.1081
_cell_length_b 4.1081
_cell_length_c 4.7273
_cell_angle_alpha 90.00
_cell_angle_beta 90.00
_cell_angle_gamma 90.00
_space_group_name_H-M_alt 'P 4/m m m'
_space_group_IT_number 123
_space_group_name_Hall '-P 4 2'
loop_
_atom_site_label
_atom_site_type_symbol
_atom_site_fract_x
_atom_site_fract_y
_atom_site_fract_z
_atom_site_occupancy
Ba1 Ba 0.0000 0.0000 0.0000 1
Au1 Au 0.5000 0.5000 0.5000 1
N1 N 0.0000 0.5000 0.5000 1
O1 O 0.5000 0.5000 0.0000 1

[5]
# AlReHg (PBE, relaxed)
# DFT formation energy: 396 meV per atom
# Crystal system: trigonal
# Excess energy over the best structure of this formula in the dataset: 0.000 eV/f.u.
data_AlReHg
_cell_length_a 2.9440
_cell_length_b 2.9440
_cell_length_c 6.8254
_cell_angle_alpha 90.00
_cell_angle_beta 90.00
_cell_angle_gamma 120.00
_space_group_name_H-M_alt 'P 3 m 1'
_space_group_IT_number 156
_space_group_name_Hall 'P 3 -2"'
loop_
_atom_site_label
_atom_site_type_symbol
_atom_site_fract_x
_atom_site_fract_y
_atom_site_fract_z
_atom_site_occupancy
Al1 Al 0.0000 0.0000 0.0000 1
Re1 Re 0.3333 0.6667 0.7096 1
Hg1 Hg 0.6667 0.3333 0.3506 1

[6]
# SmDy6Ho8 (PBE, relaxed)
# DFT formation energy: 131 meV per atom
# Crystal system: trigonal
data_SmDy6Ho8
_cell_length_a 8.9965
_cell_length_b 8.9965
_cell_length_c 20.4819
_cell_angle_alpha 90.00
_cell_angle_beta 90.00
_cell_angle_gamma 120.00
_space_group_name_H-M_alt 'R -3'
_space_group_IT_number 148
_space_group_name_Hall '-R 3'
loop_
_atom_site_label
_atom_site_type_symbol
_atom_site_fract_x
_atom_site_fract_y
_atom_site_fract_z
_atom_site_occupancy
Sm1 Sm 0.0000 0.0000 0.0000 1
Dy1 Dy 0.0628 0.8164 0.7076 1
Ho1 Ho 0.0000 0.0000 0.4235 1
Ho2 Ho 0.0811 0.5293 0.8084 1

[7]
# AgPdC2 (PBE, relaxed)
# DFT formation energy: 1689 meV per atom
# Crystal system: tetragonal
# Excess energy over the best structure of this formula in the dataset: 0.000 eV/f.u.
data_AgPdC2
_cell_length_a 5.1509
_cell_length_b 5.1509
_cell_length_c 8.4714
_cell_angle_alpha 90.00
_cell_angle_beta 90.00
_cell_angle_gamma 90.00
_space_group_name_H-M_alt 'I -4 2 d'
_space_group_IT_number 122
_space_group_name_Hall 'I -4 2bw'
loop_
_atom_site_label
_atom_site_type_symbol
_atom_site_fract_x
_atom_site_fract_y
_atom_site_fract_z
_atom_site_occupancy
Ag1 Ag 0.0000 0.0000 0.0000 1
Pd1 Pd 0.0000 0.0000 0.5000 1
C1 C 0.2165 0.2500 0.6250 1

[8]
# CaSc5Se8 (PBE, relaxed)
# Crystal system: cubic
# Raw formation energy: -158.7 kJ/mol of atoms
data_CaSc5Se8
_cell_length_a 11.4344
_cell_length_b 11.4344
_cell_length_c 11.4344
_cell_angle_alpha 90.00
_cell_angle_beta 90.00
_cell_angle_gamma 90.00
_space_group_name_H-M_alt 'F -4 3 m'
_space_group_IT_number 216
_space_group_name_Hall 'F -4 2 3'
loop_
_atom_site_label
_atom_site_type_symbol
_atom_site_fract_x
_atom_site_fract_y
_atom_site_fract_z
_atom_site_occupancy
Ca1 Ca 0.0000 0.0000 0.0000 1
Sc1 Sc 0.1268 0.1268 0.3732 1
Sc2 Sc 0.2500 0.2500 0.7500 1
Se1 Se 0.1177 0.1177 0.6177 1
Se2 Se 0.1383 0.1383 0.1383 1

[9]
# SmMg2Au (PBE, relaxed)
# DFT formation energy: -434 meV per atom
# Crystal system: cubic
data_SmMg2Au
_cell_length_a 7.1144
_cell_length_b 7.1144
_cell_length_c 7.1144
_cell_angle_alpha 90.00
_cell_angle_beta 90.00
_cell_angle_gamma 90.00
_space_group_name_H-M_alt 'F -4 3 m'
_space_group_IT_number 216
_space_group_name_Hall 'F -4 2 3'
loop_
_atom_site_label
_atom_site_type_symbol
_atom_site_fract_x
_atom_site_fract_y
_atom_site_fract_z
_atom_site_occupancy
Sm1 Sm 0.0000 0.0000 0.0000 1
Mg1 Mg 0.0000 0.0000 0.5000 1
Mg2 Mg 0.2500 0.2500 0.7500 1
Au1 Au 0.2500 0.2500 0.2500 1

[10]
# Ce2P2S7 (PBE, relaxed)
# Crystal system: monoclinic
# Raw formation energy: -83.6 kJ/mol of atoms
data_Ce2P2S7
_cell_length_a 9.7083
_cell_length_b 10.0923
_cell_length_c 5.6351
_cell_angle_alpha 90.00
_cell_angle_beta 100.95
_cell_angle_gamma 90.00
_space_group_name_H-M_alt 'C 1 2/m 1'
_space_group_IT_number 12
_space_group_name_Hall '-C 2y'
loop_
_atom_site_label
_atom_site_type_symbol
_atom_site_fract_x
_atom_site_fract_y
_atom_site_fract_z
_atom_site_occupancy
Ce1 Ce 0.0000 0.2289 0.0000 1
P1 P 0.2345 0.5000 0.4370 1
S1 S 0.0000 0.5000 0.5000 1
S2 S 0.0930 0.0000 0.2709 1
S3 S 0.2373 0.1675 0.7702 1

[11]
# RbSr2BiTe4 (PBE, relaxed)
# Crystal system: orthorhombic
# Raw formation energy: -102.4 kJ/mol of atoms
data_RbSr2BiTe4
_cell_length_a 9.5543
_cell_length_b 9.6004
_cell_length_c 13.4192
_cell_angle_alpha 90.00
_cell_angle_beta 90.00
_cell_angle_gamma 90.00
_space_group_name_H-M_alt 'I m m a'
_space_group_IT_number 74
_space_group_name_Hall '-I 2b 2'
loop_
_atom_site_label
_atom_site_type_symbol
_atom_site_fract_x
_atom_site_fract_y
_atom_site_fract_z
_atom_site_occupancy
Rb1 Rb 0.2500 0.2500 0.2500 1
Sr1 Sr 0.0000 0.0000 0.0000 1
Sr2 Sr 0.2500 0.2500 0.7500 1
Bi1 Bi 0.0000 0.0000 0.5000 1
Te1 Te 0.0000 0.0159 0.7424 1
Te2 Te 0.2339 0.2500 0.5063 1

[12]
# Nd3RuC2N6 (PBE, relaxed)
# Crystal system: trigonal
# Raw formation energy: -47.2 kJ/mol of atoms
data_Nd3RuC2N6
_cell_length_a 5.2640
_cell_length_b 5.2640
_cell_length_c 6.5613
_cell_angle_alpha 90.00
_cell_angle_beta 90.00
_cell_angle_gamma 120.00
_space_group_name_H-M_alt 'P -3 m 1'
_space_group_IT_number 164
_space_group_name_Hall '-P 3 2"'
loop_
_atom_site_label
_atom_site_type_symbol
_atom_site_fract_x
_atom_site_fract_y
_atom_site_fract_z
_atom_site_occupancy
Nd1 Nd 0.0000 0.0000 0.0000 1
Nd2 Nd 0.3333 0.6667 0.6711 1
Ru1 Ru 0.0000 0.0000 0.5000 1
C1 C 0.3333 0.6667 0.2751 1
N1 N 0.1824 0.3647 0.2729 1

[13]
# NaCaCl2 (PBE, relaxed)
# Crystal system: tetragonal
# Excess energy over the best structure of this formula in the dataset: 0.730 eV/f.u.
# Raw formation energy: -147.4 kJ/mol of atoms
data_NaCaCl2
_cell_length_a 6.5017
_cell_length_b 6.5017
_cell_length_c 12.8260
_cell_angle_alpha 90.00
_cell_angle_beta 90.00
_cell_angle_gamma 90.00
_space_group_name_H-M_alt 'I -4 2 d'
_space_group_IT_number 122
_space_group_name_Hall 'I -4 2bw'
loop_
_atom_site_label
_atom_site_type_symbol
_atom_site_fract_x
_atom_site_fract_y
_atom_site_fract_z
_atom_site_occupancy
Na1 Na 0.0000 0.0000 0.0000 1
Ca1 Ca 0.0000 0.0000 0.5000 1
Cl1 Cl 0.2353 0.2500 0.6250 1

[14]
# KSb3I (PBE, relaxed)
# Crystal system: cubic
# Excess energy over the best structure of this formula in the dataset: 3.050 eV/f.u.
# Raw formation energy: 117.3 kJ/mol of atoms
data_KSb3I
_cell_length_a 6.0547
_cell_length_b 6.0547
_cell_length_c 6.0547
_cell_angle_alpha 90.00
_cell_angle_beta 90.00
_cell_angle_gamma 90.00
_space_group_name_H-M_alt 'P m -3 m'
_space_group_IT_number 221
_space_group_name_Hall '-P 4 2 3'
loop_
_atom_site_label
_atom_site_type_symbol
_atom_site_fract_x
_atom_site_fract_y
_atom_site_fract_z
_atom_site_occupancy
K1 K 0.0000 0.0000 0.0000 1
Sb1 Sb 0.0000 0.0000 0.5000 1
I1 I 0.5000 0.5000 0.5000 1

[15]
# Nd5ScIn6 (PBE, relaxed)
# DFT formation energy: -472 meV per atom
# Crystal system: orthorhombic
data_Nd5ScIn6
_cell_length_a 5.4279
_cell_length_b 7.6099
_cell_length_c 16.2466
_cell_angle_alpha 90.00
_cell_angle_beta 90.00
_cell_angle_gamma 90.00
_space_group_name_H-M_alt 'I m m m'
_space_group_IT_number 71
_space_group_name_Hall '-I 2 2'
loop_
_atom_site_label
_atom_site_type_symbol
_atom_site_fract_x
_atom_site_fract_y
_atom_site_fract_z
_atom_site_occupancy
Nd1 Nd 0.0000 0.0000 0.0000 1
Nd2 Nd 0.0000 0.0000 0.3229 1
Nd3 Nd 0.0000 0.5000 0.3381 1
Sc1 Sc 0.0000 0.5000 0.0000 1
In1 In 0.0000 0.2226 0.5000 1
In2 In 0.0000 0.2650 0.1592 1

[16]
# PrHoNiI (PBE, relaxed)
# Crystal system: trigonal
# Raw formation energy: -63.1 kJ/mol of atoms
data_PrHoNiI
_cell_length_a 4.0747
_cell_length_b 4.0747
_cell_length_c 23.9199
_cell_angle_alpha 90.00
_cell_angle_beta 90.00
_cell_angle_gamma 120.00
_space_group_name_H-M_alt 'R 3 m'
_space_group_IT_number 160
_space_group_name_Hall 'R 3 -2"'
loop_
_atom_site_label
_atom_site_type_symbol
_atom_site_fract_x
_atom_site_fract_y
_atom_site_fract_z
_atom_site_occupancy
Pr1 Pr 0.0000 0.0000 0.0000 1
Ho1 Ho 0.0000 0.0000 0.7874 1
Ni1 Ni 0.0000 0.0000 0.3968 1
I1 I 0.0000 0.0000 0.2229 1

[17]
# Ca5PuSe6 (PBE, relaxed)
# Crystal system: monoclinic
# Raw formation energy: -183.4 kJ/mol of atoms
data_Ca5PuSe6
_cell_length_a 7.3061
_cell_length_b 12.6528
_cell_length_c 7.3042
_cell_angle_alpha 90.00
_cell_angle_beta 109.48
_cell_angle_gamma 90.00
_space_group_name_H-M_alt 'C 1 2/m 1'
_space_group_IT_number 12
_space_group_name_Hall '-C 2y'
loop_
_atom_site_label
_atom_site_type_symbol
_atom_site_fract_x
_atom_site_fract_y
_atom_site_fract_z
_atom_site_occupancy
Ca1 Ca 0.0000 0.0000 0.0000 1
Ca2 Ca 0.0000 0.1667 0.5000 1
Ca3 Ca 0.0000 0.3333 0.0000 1
Pu1 Pu 0.0000 0.5000 0.5000 1
Se1 Se 0.2496 0.0000 0.7502 1
Se2 Se 0.2498 0.1667 0.2495 1

[18]
# ErNb3Ge2 (PBE, relaxed)
# DFT formation energy: -386 meV per atom
# Crystal system: monoclinic
data_ErNb3Ge2
_cell_length_a 17.4218
_cell_length_b 3.6664
_cell_length_c 8.5670
_cell_angle_alpha 90.00
_cell_angle_beta 118.82
_cell_angle_gamma 90.00
_space_group_name_H-M_alt 'C 1 2/m 1'
_space_group_IT_number 12
_space_group_name_Hall '-C 2y'
loop_
_atom_site_label
_atom_site_type_symbol
_atom_site_fract_x
_atom_site_fract_y
_atom_site_fract_z
_atom_site_occupancy
Er1 Er 0.1377 0.0000 0.0706 1
Nb1 Nb 0.0503 0.0000 0.3960 1
Nb2 Nb 0.0915 0.5000 0.6970 1
Nb3 Nb 0.1833 0.5000 0.4482 1
Ge1 Ge 0.0174 0.5000 0.1548 1
Ge2 Ge 0.2115 0.0000 0.7203 1

[19]
# LaFe2SbSe (PBE, relaxed)
# Crystal system: tetragonal
# Raw formation energy: 36.5 kJ/mol of atoms
data_LaFe2SbSe
_cell_length_a 4.4363
_cell_length_b 4.4363
_cell_length_c 5.6931
_cell_angle_alpha 90.00
_cell_angle_beta 90.00
_cell_angle_gamma 90.00
_space_group_name_H-M_alt 'P 4/m m m'
_space_group_IT_number 123
_space_group_name_Hall '-P 4 2'
loop_
_atom_site_label
_atom_site_type_symbol
_atom_site_fract_x
_atom_site_fract_y
_atom_site_fract_z
_atom_site_occupancy
La1 La 0.0000 0.0000 0.0000 1
Fe1 Fe 0.0000 0.5000 0.5000 1
Sb1 Sb 0.5000 0.5000 0.0000 1
Se1 Se 0.5000 0.5000 0.5000 1

[20]
# GePb3Br6Cl2 (PBE, relaxed)
# Crystal system: monoclinic
# Raw formation energy: -83.6 kJ/mol of atoms
data_GePb3Br6Cl2
_cell_length_a 14.7688
_cell_length_b 8.6369
_cell_length_c 6.6208
_cell_angle_alpha 90.00
_cell_angle_beta 92.64
_cell_angle_gamma 90.00
_space_group_name_H-M_alt 'C 1 2/m 1'
_space_group_IT_number 12
_space_group_name_Hall '-C 2y'
loop_
_atom_site_label
_atom_site_type_symbol
_atom_site_fract_x
_atom_site_fract_y
_atom_site_fract_z
_atom_site_occupancy
Ge1 Ge 0.0000 0.0000 0.0000 1
Pb1 Pb 0.0000 0.5000 0.5000 1
Pb2 Pb 0.2500 0.2500 0.0000 1
Br1 Br 0.0807 0.2369 0.2496 1
Br2 Br 0.1518 0.0000 0.7511 1
Cl1 Cl 0.1686 0.5000 0.7521 1

[21]
# Pm3TlP2Rh9 (PBE, relaxed)
# DFT formation energy: -561 meV per atom
# Crystal system: trigonal
data_Pm3TlP2Rh9
_cell_length_a 6.0777
_cell_length_b 6.0777
_cell_length_c 9.5784
_cell_angle_alpha 90.00
_cell_angle_beta 90.00
_cell_angle_gamma 120.00
_space_group_name_H-M_alt 'P -3 m 1'
_space_group_IT_number 164
_space_group_name_Hall '-P 3 2"'
loop_
_atom_site_label
_atom_site_type_symbol
_atom_site_fract_x
_atom_site_fract_y
_atom_site_fract_z
_atom_site_occupancy
Pm1 Pm 0.0000 0.0000 0.0000 1
Pm2 Pm 0.3333 0.6667 0.7237 1
Tl1 Tl 0.0000 0.0000 0.5000 1
P1 P 0.3333 0.6667 0.1563 1
Rh1 Rh 0.0000 0.5000 0.0000 1
Rh2 Rh 0.1494 0.2989 0.2616 1

[22]
# Co2CuAs2 (PBE, relaxed)
# DFT formation energy: 44 meV per atom
# Crystal system: tetragonal
# Excess energy over the best structure of this formula in the dataset: 0.000 eV/f.u.
data_Co2CuAs2
_cell_length_a 6.6955
_cell_length_b 6.6955
_cell_length_c 2.9513
_cell_angle_alpha 90.00
_cell_angle_beta 90.00
_cell_angle_gamma 90.00
_space_group_name_H-M_alt 'P 4/m b m'
_space_group_IT_number 127
_space_group_name_Hall '-P 4 2ab'
loop_
_atom_site_label
_atom_site_type_symbol
_atom_site_fract_x
_atom_site_fract_y
_atom_site_fract_z
_atom_site_occupancy
Co1 Co 0.1372 0.3628 0.0000 1
Cu1 Cu 0.0000 0.0000 0.0000 1
As1 As 0.1595 0.6595 0.5000 1

[23]
# Pm6Ho4Sc (PBE, relaxed)
# DFT formation energy: 128 meV per atom
# Crystal system: orthorhombic
# Excess energy over the best structure of this formula in the dataset: 0.000 eV/f.u.
data_Pm6Ho4Sc
_cell_length_a 5.7731
_cell_length_b 9.6113
_cell_length_c 25.7161
_cell_angle_alpha 90.00
_cell_angle_beta 90.00
_cell_angle_gamma 90.00
_space_group_name_H-M_alt 'C m c m'
_space_group_IT_number 63
_space_group_name_Hall '-C 2c 2'
loop_
_atom_site_label
_atom_site_type_symbol
_atom_site_fract_x
_atom_site_fract_y
_atom_site_fract_z
_atom_site_occupancy
Pm1 Pm 0.0000 0.0000 0.0000 1
Pm2 Pm 0.0000 0.0413 0.2500 1
Pm3 Pm 0.0000 0.3023 0.6046 1
Pm4 Pm 0.0000 0.3714 0.1832 1
Ho1 Ho 0.0000 0.0393 0.1233 1
Ho2 Ho 0.0000 0.3483 0.0444 1
Sc1 Sc 0.0000 0.2954 0.7500 1